! CuMoP2 (PBE-GGA, optimized geometry); values from VASP
! E_form: -0.116 eV/atom
! DOS(E_F): 0.44 states/eV per atom
&SYSTEM
  ibrav = 0, nat = 4, ntyp = 3
/
ATOMIC_SPECIES
Cu 63.55 Cu.upf
Mo 95.94 Mo.upf
P 30.97 P.upf
ATOMIC_POSITIONS crystal
Cu 0.000 0.000 0.000
Mo 0.000 0.000 0.500
P 0.500 0.500 0.263
P 0.500 0.500 0.737
CELL_PARAMETERS angstrom
3.115 0.000 0.000
0.000 3.115 0.000
0.000 0.000 5.632

=====

! CuMo2P (PBE-GGA, optimized geometry); values from VASP
! E_form: 0.212 eV/atom
! DOS(E_F): 0.82 states/eV per atom
&SYSTEM
  ibrav = 0, nat = 4, ntyp = 3
/
ATOMIC_SPECIES
Cu 63.55 Cu.upf
Mo 95.94 Mo.upf
P 30.97 P.upf
ATOMIC_POSITIONS crystal
Cu 0.000 0.000 0.000
Mo 0.000 0.500 0.500
Mo 0.500 0.500 0.000
P 0.500 0.000 0.500
CELL_PARAMETERS angstrom
3.368 0.000 0.000
0.000 3.935 0.000
0.000 0.000 4.256

=====

! CuMo2P (PBE-GGA, optimized geometry); values from VASP
! E_form: 0.281 eV/atom
! DOS(E_F): 0.37 states/eV per atom
&SYSTEM
  ibrav = 0, nat = 16, ntyp = 3
/
ATOMIC_SPECIES
Cu 63.55 Cu.upf
Mo 95.94 Mo.upf
P 30.97 P.upf
ATOMIC_POSITIONS crystal
Cu 0.000 0.000 0.000
Cu 0.000 0.500 0.500
Cu 0.500 0.000 0.500
Cu 0.500 0.500 0.000
Mo 0.000 0.000 0.500
Mo 0.000 0.500 0.000
Mo 0.250 0.250 0.250
Mo 0.250 0.750 0.750
Mo 0.500 0.000 0.000
Mo 0.500 0.500 0.500
Mo 0.750 0.250 0.750
Mo 0.750 0.750 0.250
P 0.250 0.250 0.750
P 0.250 0.750 0.250
P 0.750 0.250 0.250
P 0.750 0.750 0.750
CELL_PARAMETERS angstrom
6.089 0.000 0.000
0.000 6.089 0.000
0.000 0.000 6.089

=====

! CuMoP2 (PBE-GGA, optimized geometry); values from VASP
! E_form: -0.095 eV/atom
! DOS(E_F): 0.38 states/eV per atom
&SYSTEM
  ibrav = 0, nat = 12, ntyp = 3
/
ATOMIC_SPECIES
Cu 63.55 Cu.upf
Mo 95.94 Mo.upf
P 30.97 P.upf
ATOMIC_POSITIONS crystal
Cu 0.000 0.000 0.000
Cu 0.333 0.667 0.667
Cu 0.667 0.333 0.333
Mo 0.000 0.000 0.500
Mo 0.333 0.667 0.167
Mo 0.667 0.333 0.833
P 0.000 0.000 0.250
P 0.000 0.000 0.750
P 0.333 0.667 0.417
P 0.333 0.667 0.916
P 0.667 0.333 0.084
P 0.667 0.333 0.583
CELL_PARAMETERS angstrom
3.056 0.000 0.000
-1.528 2.647 0.000
0.000 0.000 21.248

=====

! CuMo2P (PBE-GGA, optimized geometry); values from VASP
! E_form: 0.011 eV/atom
! DOS(E_F): 0.77 states/eV per atom
&SYSTEM
  ibrav = 0, nat = 4, ntyp = 3
/
ATOMIC_SPECIES
Cu 63.55 Cu.upf
Mo 95.94 Mo.upf
P 30.97 P.upf
ATOMIC_POSITIONS crystal
Cu 0.000 0.000 0.000
Mo 0.269 0.000 0.541
Mo 0.603 0.500 0.207
P 0.864 0.500 0.732
CELL_PARAMETERS angstrom
3.099 0.000 0.000
0.000 3.759 0.000
-1.549 0.000 4.755

=====

! CuMo3P (PBE-GGA, optimized geometry); values from VASP
! E_form: 1.744 eV/atom
! DOS(E_F): 1.20 states/eV per atom
&SYSTEM
  ibrav = 0, nat = 5, ntyp = 3
/
ATOMIC_SPECIES
Cu 63.55 Cu.upf
Mo 95.94 Mo.upf
P 30.97 P.upf
ATOMIC_POSITIONS crystal
Cu 0.000 0.000 0.000
Mo 0.000 0.000 0.500
Mo 0.000 0.500 0.000
Mo 0.500 0.000 0.000
P 0.500 0.500 0.500
CELL_PARAMETERS angstrom
4.499 0.000 0.000
0.000 4.499 0.000
0.000 0.000 4.499

=====

! CuMoP2 (PBE-GGA, optimized geometry); values from VASP
! E_form: 0.524 eV/atom
! DOS(E_F): 0.91 states/eV per atom
&SYSTEM
  ibrav = 0, nat = 16, ntyp = 3
/
ATOMIC_SPECIES
Cu 63.55 Cu.upf
Mo 95.94 Mo.upf
P 30.97 P.upf
ATOMIC_POSITIONS crystal
Cu 0.000 0.000 0.000
Cu 0.000 0.500 0.500
Cu 0.500 0.000 0.500
Cu 0.500 0.500 0.000
Mo 0.250 0.250 0.250
Mo 0.250 0.750 0.750
Mo 0.750 0.250 0.750
Mo 0.750 0.750 0.250
P 0.000 0.000 0.500
P 0.000 0.500 0.000
P 0.250 0.250 0.750
P 0.250 0.750 0.250
P 0.500 0.000 0.000
P 0.500 0.500 0.500
P 0.750 0.250 0.250
P 0.750 0.750 0.750
CELL_PARAMETERS angstrom
6.056 0.000 0.000
0.000 6.056 0.000
0.000 0.000 6.056

=====

! Cu2MoP (PBE-GGA, optimized geometry); values from VASP
! E_form: 0.096 eV/atom
! DOS(E_F): 0.64 states/eV per atom
&SYSTEM
  ibrav = 0, nat = 4, ntyp = 3
/
ATOMIC_SPECIES
Cu 63.55 Cu.upf
Mo 95.94 Mo.upf
P 30.97 P.upf
ATOMIC_POSITIONS crystal
Cu 0.111 0.000 0.261
Cu 0.889 0.000 0.739
Mo 0.500 0.500 0.000
P 0.000 0.500 0.500
CELL_PARAMETERS angstrom
2.702 0.000 0.000
0.000 4.238 0.000
-1.183 0.000 4.629